# 1
Computed, not measured: BrCl3 after structural relaxation at the PBE-GGA level of DFT.

Results
The formation energy from raw total energies is 63 kJ/mol of formula units. Its calculated total energy is -1.641 eV per atom. As for the density of states at the Fermi level: 8.02 states/eV/cell.

The structure in CIF format:
```
data_BrCl3
_cell_length_a 4.724
_cell_length_b 16.035
_cell_length_c 3.624
_cell_angle_alpha 90.00
_cell_angle_beta 90.00
_cell_angle_gamma 90.00
_space_group_name_H-M_alt 'C m m m'
_space_group_IT_number 65
_space_group_name_Hall '-C 2 2'
loop_
_atom_site_label
_atom_site_type_symbol
_atom_site_fract_x
_atom_site_fract_y
_atom_site_fract_z
Br1 Br 0.000 0.000 0.000
Cl1 Cl 0.000 0.500 0.000
Cl2 Cl 0.250 0.250 0.500
```


# 2
Computed, not measured: CdInSb2 after structural relaxation at the PBE-GGA level of DFT.

Results
The formation energy from raw total energies is 20 kJ/mol of formula units. Its calculated total energy is -2.922 eV per atom. As for the density of states at the Fermi level: 1.64 states/eV/cell.

The structure in CIF format:
```
data_CdInSb2
_cell_length_a 3.175
_cell_length_b 4.137
_cell_length_c 8.679
_cell_angle_alpha 90.00
_cell_angle_beta 99.04
_cell_angle_gamma 90.00
_space_group_name_H-M_alt 'P 1 m 1'
_space_group_IT_number 6
loop_
_space_group_symop_operation_xyz
'x,y,z'
'x,-y,z'
loop_
_atom_site_label
_atom_site_type_symbol
_atom_site_fract_x
_atom_site_fract_y
_atom_site_fract_z
Cd1 Cd 0.000 0.000 0.000
In1 In 0.407 0.500 0.794
Sb1 Sb 0.158 0.500 0.266
Sb2 Sb 0.256 0.000 0.518
```


# 3
Computed, not measured: TaSi2Tc after structural relaxation at the PBE-GGA level of DFT.

Results
The formation energy from raw total energies is -76 kJ/mol of formula units. Its calculated total energy is -8.463 eV per atom. The value obtained for the offset from the most stable computed form is 0.296 eV per atom. As for the density of states at the Fermi level: 4.56 states/eV/cell.

The structure in CIF format:
```
data_TaSi2Tc
_cell_length_a 3.782
_cell_length_b 3.782
_cell_length_c 8.126
_cell_angle_alpha 90.00
_cell_angle_beta 90.00
_cell_angle_gamma 90.00
_space_group_name_H-M_alt 'I -4 m 2'
_space_group_IT_number 119
_space_group_name_Hall 'I -4 -2'
loop_
_atom_site_label
_atom_site_type_symbol
_atom_site_fract_x
_atom_site_fract_y
_atom_site_fract_z
Ta1 Ta 0.000 0.000 0.000
Si1 Si 0.000 0.000 0.500
Si2 Si 0.000 0.500 0.250
Tc1 Tc 0.000 0.500 0.750
```


# 4
Computed, not measured: LuUMn2 after structural relaxation at the PBE-GGA level of DFT.

Results
Its calculated total energy is -8.288 eV per atom. The value obtained for the offset from the most stable computed form is 0.201 eV per atom. As for the density of states at the Fermi level: 13.68 states/eV/cell. As for the formation energy: 0.2488 eV per atom.

The structure in CIF format:
```
data_LuUMn2
_cell_length_a 3.2380
_cell_length_b 3.2380
_cell_length_c 23.3270
_cell_angle_alpha 90.00
_cell_angle_beta 90.00
_cell_angle_gamma 120.00
_space_group_name_H-M_alt 'R -3 m'
_space_group_IT_number 166
_space_group_name_Hall '-R 3 2"'
loop_
_atom_site_label
_atom_site_type_symbol
_atom_site_fract_x
_atom_site_fract_y
_atom_site_fract_z
Lu1 Lu 0.0000 0.0000 0.0000
U1 U 0.0000 0.0000 0.5000
Mn1 Mn 0.0000 0.0000 0.2363
```


# 5
Computed, not measured: TiAg6Cl12 after structural relaxation at the PBE-GGA level of DFT.

Results
The formation energy from raw total energies is -1278 kJ/mol of formula units. Its calculated total energy is -3.179 eV per atom. As for the density of states at the Fermi level: 27.29 states/eV/cell.

The structure in CIF format:
```
data_TiAg6Cl12
_cell_length_a 11.4203
_cell_length_b 11.4203
_cell_length_c 13.0878
_cell_angle_alpha 90.00
_cell_angle_beta 90.00
_cell_angle_gamma 120.00
_space_group_name_H-M_alt 'R -3'
_space_group_IT_number 148
_space_group_name_Hall '-R 3'
loop_
_atom_site_label
_atom_site_type_symbol
_atom_site_fract_x
_atom_site_fract_y
_atom_site_fract_z
Ti1 Ti 0.0000 0.0000 0.0000
Ag1 Ag 0.0196 0.7628 0.6410
Cl1 Cl 0.0103 0.8151 0.3734
Cl2 Cl 0.0122 0.1729 0.1066
```


# 6
Computed, not measured: OsPdSN after structural relaxation at the PBE-GGA level of DFT.

Results
The formation energy from raw total energies is 144 kJ/mol of formula units. Its calculated total energy is -6.847 eV per atom. The value obtained for the offset from the most stable computed form is 0.194 eV per atom. As for the density of states at the Fermi level: 8.45 states/eV/cell.

The structure in CIF format:
```
data_OsPdSN
_cell_length_a 2.9195
_cell_length_b 2.9195
_cell_length_c 21.3767
_cell_angle_alpha 90.00
_cell_angle_beta 90.00
_cell_angle_gamma 120.00
_space_group_name_H-M_alt 'R 3 m'
_space_group_IT_number 160
_space_group_name_Hall 'R 3 -2"'
loop_
_atom_site_label
_atom_site_type_symbol
_atom_site_fract_x
_atom_site_fract_y
_atom_site_fract_z
Os1 Os 0.0000 0.0000 0.0000
Pd1 Pd 0.0000 0.0000 0.4878
S1 S 0.0000 0.0000 0.2451
N1 N 0.0000 0.0000 0.3880
```